A plane-wave DFT calculation with PBE+U was carried out for a geometry-optimized In2FeGeO6 structure.

Unit cell a=5.361 b=5.361 c=5.649 alpha=61.67 beta=61.67 gamma=60.00
Last column: magnetic moment on the atom in μB.
Positions (direct):
O (0.113, 0.433, 0.771)  0.04
O (0.582, 0.204, 0.250)  0.02
O (0.433, 0.683, 0.771)  0.04
In (0.026, 0.026, 0.922)  0.00
O (0.683, 0.113, 0.771)  0.04
Fe (0.809, 0.809, 0.574)  3.92
Ge (0.317, 0.317, 0.048)  0.00
In (0.531, 0.531, 0.408)  0.00
O (0.964, 0.582, 0.250)  0.02
O (0.204, 0.964, 0.250)  0.02

Values from the calculation:
total energy: -5.9907 eV per atom